(1)
# PBE La4Pr2Er3, relaxed
data_La4Pr2Er3
_chemical_formula_sum 'La4 Pr2 Er3'
_cell_length_a 3.6464
_cell_length_b 3.6464
_cell_length_c 27.4716
_cell_angle_alpha 90.00
_cell_angle_beta 90.00
_cell_angle_gamma 120.00
_symmetry_space_group_name_H-M 'P 3 m 1'
_symmetry_Int_Tables_number 156
loop_
_symmetry_equiv_pos_as_xyz
'x,y,z'
'-y,x-y,z'
'-x+y,-x,z'
'-y,-x,z'
'-x+y,y,z'
'x,x-y,z'
loop_
_atom_site_label
_atom_site_type_symbol
_atom_site_fract_x
_atom_site_fract_y
_atom_site_fract_z
La1 La 0.0000 0.0000 0.0000
La2 La 0.0000 0.0000 0.2104
La3 La 0.3333 0.6667 0.3290
La4 La 0.3333 0.6667 0.5407
Pr1 Pr 0.0000 0.0000 0.6579
Pr2 Pr 0.0000 0.0000 0.8664
Er1 Er 0.0000 0.0000 0.4346
Er2 Er 0.3333 0.6667 0.1042
Er3 Er 0.3333 0.6667 0.7632
# ΔE to the lowest computed polymorph: 0.0 kJ/mol of atoms
# Total magnetization: 0.000 μB per formula unit
# Energy of formation: 0.055 eV/atom
# VASP energy: -42.5 eV/cell



(2)
# PBE La2Pr12Er5, relaxed
data_La2Pr12Er5
_chemical_formula_sum 'La4 Pr24 Er10'
_cell_length_a 18.1846
_cell_length_b 11.7885
_cell_length_c 6.2964
_cell_angle_alpha 90.00
_cell_angle_beta 100.41
_cell_angle_gamma 90.00
_symmetry_space_group_name_H-M 'C 1 2/m 1'
_symmetry_Int_Tables_number 12
loop_
_symmetry_equiv_pos_as_xyz
'x,y,z'
'-x,-y,-z'
'-x,y,-z'
'x,-y,z'
'x+1/2,y+1/2,z'
'-x+1/2,-y+1/2,-z'
'-x+1/2,y+1/2,-z'
'x+1/2,-y+1/2,z'
loop_
_atom_site_label
_atom_site_type_symbol
_atom_site_fract_x
_atom_site_fract_y
_atom_site_fract_z
La1 La 0.0000 0.2127 0.0000
Pr1 Pr 0.0807 0.0000 0.3501
Pr2 Pr 0.1025 0.2639 0.6238
Pr3 Pr 0.1026 0.5000 0.0344
Pr4 Pr 0.2029 0.2566 0.2140
Er1 Er 0.0000 0.5000 0.5000
Er2 Er 0.1783 0.0000 0.8840
Er3 Er 0.2168 0.5000 0.5700
# ΔE to the lowest computed polymorph: 0.0 kJ/mol of atoms
# Total magnetization: 0.000 μB per formula unit
# Energy of formation: 0.102 eV/atom
# VASP energy: -176.2 eV/cell



(3)
# PBE La12Pr2Er5, relaxed
data_La12Pr2Er5
_chemical_formula_sum 'La24 Pr4 Er10'
_cell_length_a 13.3320
_cell_length_b 11.8621
_cell_length_c 9.5452
_cell_angle_alpha 90.00
_cell_angle_beta 117.02
_cell_angle_gamma 90.00
_symmetry_space_group_name_H-M 'C 1 2/m 1'
_symmetry_Int_Tables_number 12
loop_
_symmetry_equiv_pos_as_xyz
'x,y,z'
'-x,-y,-z'
'-x,y,-z'
'x,-y,z'
'x+1/2,y+1/2,z'
'-x+1/2,-y+1/2,-z'
'-x+1/2,y+1/2,-z'
'x+1/2,-y+1/2,z'
loop_
_atom_site_label
_atom_site_type_symbol
_atom_site_fract_x
_atom_site_fract_y
_atom_site_fract_z
La1 La 0.0642 0.0000 0.2704
La2 La 0.1000 0.5000 0.4217
La3 La 0.1049 0.2412 0.9077
La4 La 0.2128 0.2391 0.3109
Pr1 Pr 0.0000 0.2126 0.5000
Er1 Er 0.0000 0.5000 0.0000
Er2 Er 0.1978 0.0000 0.7350
Er3 Er 0.2169 0.5000 0.8615
# Total magnetization: 0.000 μB per formula unit
# Energy of formation: 0.103 eV/atom
# VASP energy: -179.1 eV/cell